[1]
## MgTlCl2 (meta-GGA SCAN)

Data for MgTlCl2 at its PBEsol-relaxed geometry.

Cell lengths 3.534, 3.534, 8.649 Å; angles 90.00, 90.00, 90.00 degrees
Positions (direct):
Mg (0.000, 0.000, 0.000)
Tl (0.500, 0.500, 0.468)
Cl (0.000, 0.000, 0.740)
Cl (0.500, 0.500, 0.079)

As for the excess energy over the best structure of this formula in the dataset: 0.3357 eV per atom. The value obtained for the uncorrected formation energy is -1.10 eV per atom. Its total magnetization is 0.000 μB/atom.

---

[2]
## MgTlCl2 (meta-GGA SCAN)

Data for MgTlCl2 at its PBEsol-relaxed geometry.

Cell lengths 3.519, 3.519, 10.454 Å; angles 99.18, 99.18, 60.05 degrees
Positions (direct):
Mg (0.000, 0.000, 0.000)
Tl (0.500, 0.500, 0.500)
Cl (0.377, 0.377, 0.138)
Cl (0.623, 0.623, 0.862)

As for the excess energy over the best structure of this formula in the dataset: 0.0000 eV per atom. The value obtained for the uncorrected formation energy is -1.44 eV per atom. Its total magnetization is 0.000 μB/atom.

---

[3]
## MgTlCl2 (meta-GGA SCAN)

Data for MgTlCl2 at its PBEsol-relaxed geometry.

Cell lengths 6.579, 6.579, 6.579 Å; angles 143.06, 143.06, 53.23 degrees
Positions (direct):
Mg (0.000, 0.000, 0.000)
Tl (0.750, 0.250, 0.500)
Cl (0.250, 0.750, 0.500)
Cl (0.500, 0.500, 0.000)

As for the excess energy over the best structure of this formula in the dataset: 0.6615 eV per atom. The value obtained for the uncorrected formation energy is -0.78 eV per atom. Its total magnetization is 0.200 μB/atom.

---

[4]
## MgW2Cl2 (meta-GGA SCAN)

Data for MgW2Cl2 at its PBEsol-relaxed geometry.

Cell lengths 6.239, 6.239, 6.239 Å; angles 140.59, 140.59, 56.96 degrees
Positions (direct):
Mg (0.000, 0.000, 0.000)
W (0.398, 0.398, 0.000)
W (0.602, 0.602, 0.000)
Cl (0.250, 0.750, 0.500)
Cl (0.750, 0.250, 0.500)

The value obtained for the uncorrected formation energy is 0.78 eV per atom. Its total magnetization is 0.000 μB/atom.

---

[5]
## Mg2WCl2 (meta-GGA SCAN)

Data for Mg2WCl2 at its PBEsol-relaxed geometry.

Cell lengths 5.279, 5.279, 5.279 Å; angles 120.37, 120.37, 89.36 degrees
Positions (direct):
Mg (0.250, 0.750, 0.500)
Mg (0.750, 0.250, 0.500)
W (0.000, 0.000, 0.000)
Cl (0.312, 0.312, 0.000)
Cl (0.688, 0.688, 0.000)

The value obtained for the uncorrected formation energy is 0.32 eV per atom. Its total magnetization is 0.627 μB/atom.

---

[6]
## Mg2WCl (meta-GGA SCAN)

Data for Mg2WCl at its PBEsol-relaxed geometry.

Cell lengths 5.781, 5.781, 5.781 Å; angles 150.06, 128.64, 60.60 degrees
Positions (direct):
Mg (0.000, 0.000, 0.000)
Mg (0.701, 0.201, 0.500)
W (0.245, 0.745, 0.500)
Cl (0.432, 0.432, 0.000)

As for the excess energy over the best structure of this formula in the dataset: 0.0000 eV per atom. The value obtained for the uncorrected formation energy is 0.33 eV per atom. Its total magnetization is 0.000 μB/atom.

---

[7]
## Mg2WCl (meta-GGA SCAN)

Data for Mg2WCl at its PBEsol-relaxed geometry.

Cell lengths 2.913, 4.760, 5.135 Å; angles 90.00, 90.00, 90.00 degrees
Positions (direct):
Mg (0.000, 0.000, 0.000)
Mg (0.000, 0.500, 0.343)
W (0.500, 0.500, 0.842)
Cl (0.500, 0.000, 0.564)

As for the excess energy over the best structure of this formula in the dataset: 0.0401 eV per atom. The value obtained for the uncorrected formation energy is 0.37 eV per atom. Its total magnetization is 0.000 μB/atom.

---

[8]
## MgWCl (meta-GGA SCAN)

Data for MgWCl at its PBEsol-relaxed geometry.

Cell lengths 4.725, 4.725, 4.725 Å; angles 60.00, 60.00, 60.00 degrees
Positions (direct):
Mg (0.000, 0.000, 0.000)
W (0.750, 0.750, 0.750)
Cl (0.500, 0.500, 0.500)

The value obtained for the uncorrected formation energy is 1.51 eV per atom. Its total magnetization is 1.668 μB/atom.

---

[9]
## Mg2WCl (meta-GGA SCAN)

Data for Mg2WCl at its PBEsol-relaxed geometry.

Cell lengths 5.139, 5.139, 2.844 Å; angles 90.00, 90.00, 108.96 degrees
Positions (direct):
Mg (0.000, 0.500, 0.000)
Mg (0.500, 0.000, 0.000)
W (0.000, 0.000, 0.500)
Cl (0.500, 0.500, 0.500)

As for the excess energy over the best structure of this formula in the dataset: 0.0036 eV per atom. The value obtained for the uncorrected formation energy is 0.33 eV per atom. Its total magnetization is 0.000 μB/atom.

---

[10]
## YMgCl (meta-GGA SCAN)

Data for YMgCl at its PBEsol-relaxed geometry.

Cell lengths 3.494, 3.494, 7.045 Å; angles 90.00, 90.00, 120.00 degrees
Positions (direct):
Y (0.000, 0.000, 0.000)
Mg (0.333, 0.667, 0.362)
Cl (0.667, 0.333, 0.726)

The value obtained for the uncorrected formation energy is -0.94 eV per atom. Its total magnetization is 0.129 μB/atom.

---

[11]
## YMg2Cl (meta-GGA SCAN)

Data for YMg2Cl at its PBEsol-relaxed geometry.

Cell lengths 3.397, 5.482, 5.456 Å; angles 90.00, 104.58, 90.00 degrees
Positions (direct):
Y (0.000, 0.000, 0.000)
Mg (0.352, 0.500, 0.737)
Mg (0.648, 0.500, 0.263)
Cl (0.000, 0.000, 0.500)

The value obtained for the uncorrected formation energy is -0.47 eV per atom. Its total magnetization is 0.000 μB/atom.

---

[12]
## MgZnCl2 (meta-GGA SCAN)

Data for MgZnCl2 at its PBEsol-relaxed geometry.

Cell lengths 3.544, 3.544, 9.524 Å; angles 100.95, 100.95, 60.01 degrees
Positions (direct):
Mg (0.000, 0.000, 0.000)
Zn (0.500, 0.500, 0.500)
Cl (0.282, 0.282, 0.849)
Cl (0.718, 0.718, 0.151)

The value obtained for the uncorrected formation energy is -1.27 eV per atom. Its total magnetization is 0.000 μB/atom.